1.
## YCuSn (PBE)

Data for YCuSn after structural relaxation.

Lattice parameters (Å, degrees): 8.3477 4.2048 4.2045 90.00 75.34 104.59
With the nearest neighbours (Å) after each atom.
Positions (direct):
Y (0.7878, 0.8301, 0.4922)  6 Cu 3.19-3.43, 6 Sn 3.25-3.32
Y (0.2878, 0.5796, 0.2420)  6 Cu 3.20-3.44, 6 Sn 3.26-3.32
Sn (0.9589, 0.4144, 0.9060)  3 Cu 2.51-2.52
Sn (0.4588, 0.1656, 0.6565)  3 Cu 2.51-2.52
Cu (0.6351, 0.2573, 0.0677)  3 Sn 2.51-2.52
Cu (0.1351, 0.0023, 0.8197)  3 Sn 2.51-2.52

Energy of formation = -0.48 eV/atom

***

2.
## Y12Cu6Sn (PBE)

Data for Y12Cu6Sn after structural relaxation.

Lattice parameters (Å, degrees): 8.5797 8.5797 8.5797 109.47 109.47 109.47
With the nearest neighbours (Å) after each atom.
Positions (direct):
Y (0.7009, 0.5126, 0.8117)  3 Cu 2.73-2.99
Y (0.1883, 0.2991, 0.4874)  3 Cu 2.73-2.99
Y (0.8117, 0.7009, 0.5126)  3 Cu 2.73-2.99
Y (0.1883, 0.7009, 0.8891)  3 Cu 2.73-2.99
Y (0.1109, 0.8117, 0.2991)  3 Cu 2.73-2.99
Y (0.7009, 0.8891, 0.1883)  3 Cu 2.73-2.99
Y (0.4874, 0.1883, 0.2991)  3 Cu 2.73-2.99
Y (0.2991, 0.4874, 0.1883)  3 Cu 2.73-2.99
Y (0.8117, 0.2991, 0.1109)  3 Cu 2.73-2.99
Y (0.8891, 0.1883, 0.7009)  3 Cu 2.73-2.99
Y (0.5126, 0.8117, 0.7009)  3 Cu 2.73-2.99
Y (0.2991, 0.1109, 0.8117)  3 Cu 2.73-2.99
Cu (0.1233, 0.6233, 0.5000)  1 Cu 2.44, 2 Y 2.73
Cu (0.3767, 0.5000, 0.8767)  1 Cu 2.44, 2 Y 2.73
Cu (0.5000, 0.8767, 0.3767)  1 Cu 2.44, 2 Y 2.73
Cu (0.6233, 0.5000, 0.1233)  1 Cu 2.44, 2 Y 2.73
Cu (0.8767, 0.3767, 0.5000)  1 Cu 2.44, 2 Y 2.73
Cu (0.5000, 0.1233, 0.6233)  1 Cu 2.44, 2 Y 2.73
Sn (0.0000, 0.0000, 0.0000)  12 Y 3.50

Energy of formation = -0.25 eV/atom

***

3.
## YZnCuSn2 (PBE)

Data for YZnCuSn2 after structural relaxation.

Lattice parameters (Å, degrees): 5.7932 5.5052 5.7932 90.00 90.00 90.00
With the nearest neighbours (Å) after each atom.
Positions (direct):
Cu (0.5000, 0.5000, 0.5000)  8 Sn 4.00, 4 Zn 4.10
Sn (0.5000, 0.0000, 0.0000)  2 Y 2.90
Sn (0.0000, 0.0000, 0.5000)  2 Y 2.90
Zn (0.0000, 0.5000, 0.0000)  2 Y 2.75
Y (0.0000, 0.0000, 0.0000)  2 Zn 2.75, 4 Sn 2.90

Energy of formation = 0.96 eV/atom

***

4.
## YbCu9Sn4 (PBE)

Data for YbCu9Sn4 after structural relaxation.

Lattice parameters (Å, degrees): 8.7399 8.7399 8.7399 120.50 120.50 89.14
With the nearest neighbours (Å) after each atom.
Positions (direct):
Sn (0.3133, 0.4404, 0.5000)  9 Cu 2.59-2.79
Sn (0.8133, 0.3133, 0.8729)  9 Cu 2.59-2.79
Sn (0.4404, 0.9404, 0.1271)  9 Cu 2.59-2.79
Sn (0.1867, 0.6867, 0.1271)  9 Cu 2.59-2.79
Sn (0.6867, 0.5596, 0.5000)  9 Cu 2.59-2.79
Sn (0.0596, 0.1867, 0.5000)  9 Cu 2.59-2.79
Sn (0.5596, 0.0596, 0.8729)  9 Cu 2.59-2.79
Sn (0.9404, 0.8133, 0.5000)  9 Cu 2.59-2.79
Cu (0.2009, 0.0540, 0.2549)  5 Cu 2.55-2.77, 4 Sn 2.75-2.79
Cu (0.9460, 0.2009, 0.1469)  5 Cu 2.55-2.77, 4 Sn 2.75-2.79
Cu (0.0663, 0.5663, 0.2849)  6 Cu 2.54-2.77, 4 Sn 2.59-2.70
Cu (0.9337, 0.4337, 0.7151)  6 Cu 2.54-2.77, 4 Sn 2.59-2.70
Cu (0.7009, 0.4460, 0.1469)  5 Cu 2.55-2.77, 4 Sn 2.75-2.79
Cu (0.5663, 0.2814, 0.5000)  6 Cu 2.54-2.77, 4 Sn 2.59-2.70
Cu (0.7186, 0.2186, 0.2849)  6 Cu 2.54-2.77, 4 Sn 2.59-2.70
Cu (0.7814, 0.0663, 0.5000)  6 Cu 2.54-2.77, 4 Sn 2.59-2.70
Cu (0.0000, 0.5000, 0.5000)  8 Cu 2.54-2.64, 4 Sn 2.78
Cu (0.5540, 0.7009, 0.2549)  5 Cu 2.55-2.77, 4 Sn 2.75-2.79
Cu (0.2991, 0.5540, 0.8531)  5 Cu 2.55-2.77, 4 Sn 2.75-2.79
Cu (0.2186, 0.9337, 0.5000)  6 Cu 2.54-2.77, 4 Sn 2.59-2.70
Cu (0.2814, 0.7814, 0.7151)  6 Cu 2.54-2.77, 4 Sn 2.59-2.70
Cu (0.7991, 0.9460, 0.7451)  5 Cu 2.55-2.77, 4 Sn 2.75-2.79
Cu (0.5000, 0.0000, 0.5000)  8 Cu 2.54-2.64, 4 Sn 2.78
Cu (0.4460, 0.2991, 0.7451)  5 Cu 2.55-2.77, 4 Sn 2.75-2.79
Cu (0.0540, 0.7991, 0.8531)  5 Cu 2.55-2.77, 4 Sn 2.75-2.79
Cu (0.4337, 0.7186, 0.5000)  6 Cu 2.54-2.77, 4 Sn 2.59-2.70
Yb (0.7500, 0.7500, 0.0000)  8 Sn 3.52, 16 Cu 3.60-3.65
Yb (0.2500, 0.2500, 0.0000)  8 Sn 3.52, 16 Cu 3.60-3.65

Energy of formation = -0.12 eV/atom